Entry 1:
First-principles (GGA-PBE) data for Sr2HfNpAs4 after structural relaxation, as listed in Alexandria.

```
8
Lattice="-0.6543 -1.0796 -3.9521 6.9172 1.0972 -1.4450 -0.8879 -7.1202 2.0921" Properties=species:S:1:pos:R:3 pbc="T T T"
Sr -0.7711 -4.0999 -0.9300
Sr 3.0147 -3.0115 0.3235
Hf 0.0000 0.0000 0.0000
Np 3.1315 0.0088 -2.6985
As 1.0712 -1.7904 -1.8659
As 4.3038 -5.3122 -1.4391
As 1.0498 -5.3233 1.2804
As 4.9796 -0.6997 -0.6333
```

N(E_F) (states/eV/cell): 9.40
ΔH_f (0 K) (meV/atom): -994.9
SG: P2/m
Magnetic moment (μB/atom): 0.374

---

Entry 2:
First-principles (GGA-PBE) data for TbHfNp2As4 after structural relaxation, as listed in Alexandria.

```
8
Lattice="-0.6754 3.7972 1.1425 -6.2017 -0.1186 -3.2720 -0.8356 -2.1351 6.6023" Properties=species:S:1:pos:R:3 pbc="T T T"
Tb -3.4386 1.8393 -1.0647
Hf 0.0000 0.0000 0.0000
Np -0.7555 0.8310 3.8724
Np -3.5187 -1.1269 1.6652
As -2.0079 1.3618 1.3680
As -5.7049 0.1816 3.1049
As -2.1288 -1.6417 4.1978
As -4.9086 -0.6121 -0.8675
```

N(E_F) (states/eV/cell): 21.34
ΔH_f (0 K) (meV/atom): -965.2
SG: P2/m
Magnetic moment (μB/atom): 0.018

---

- Among the records above, which one has the lowest magnetic moment?
  TbHfNp2As4

---

- Look up the magnetic moment of the second one.
  0.018 μB/atom

---

- Number 1 is which compound?
  Sr2HfNpAs4

---

- Look up the N(E_F) of the first one.
  9.40 states/eV/cell